{
  "formula": "Hf2Mg3",
  "functional": "PBE",
  "state": "relaxed",
  "vol_a3_per_atom": 22.48,
  "total_energy_ev_per_atom": -4.501,
  "crystal_system": "trigonal",
  "space_group": "R-3m, No. 166",
  "lattice_angstrom": [[2.956, 1.707, 3.713], [-2.956, 1.707, 3.713], [0.000, -3.414, 3.713]],
  "species": ["Hf", "Hf", "Mg", "Mg", "Mg"],
  "frac_coords": [[0.116, 0.116, 0.116], [0.884, 0.884, 0.884], [0.000, 0.500, 0.500], [0.500, 0.000, 0.500], [0.500, 0.500, 0.000]]
}

=====

{
  "formula": "RbBeNbSe3",
  "functional": "PBE",
  "state": "relaxed",
  "vol_a3_per_atom": 24.77,
  "total_energy_ev_per_atom": -5.009,
  "crystal_system": "orthorhombic",
  "space_group": "Cmcm, No. 63",
  "lattice_angstrom": [[1.853, -7.870, 0.000], [1.853, 7.870, 0.000], [0.000, 0.000, 10.192]],
  "species": ["Rb", "Rb", "Be", "Be", "Nb", "Nb", "Se", "Se", "Se", "Se", "Se", "Se"],
  "frac_coords": [[0.242, 0.758, 0.750], [0.758, 0.242, 0.250], [0.034, 0.966, 0.250], [0.966, 0.034, 0.750], [0.500, 0.500, 0.000], [0.500, 0.500, 0.500], [0.115, 0.885, 0.068], [0.115, 0.885, 0.432], [0.444, 0.556, 0.250], [0.556, 0.444, 0.750], [0.885, 0.115, 0.568], [0.885, 0.115, 0.932]]
}

=====

Number 1: size of the total moment 0.005 μB/atom. Number 2: size of the total moment 0.284 μB/atom.